# H2PdF6

An optimized crystal structure of H2PdF6 (PBE, Alexandria).

Results
* calculated total energy: -0.142 hartree per atom
* total moment: 0.00 μB/f.u.
* volume: 226 Å³/cell

a b c (Å): 6.703 6.703 5.130
angles (deg): 96.09 96.09 82.55
Fractional positions:
H (0.118, 0.148, 0.312)
H (0.148, 0.118, 0.812)
H (0.852, 0.882, 0.188)
H (0.882, 0.852, 0.688)
Pd (0.409, 0.591, 0.250)
Pd (0.591, 0.409, 0.750)
F (0.085, 0.194, 0.140)
F (0.151, 0.629, 0.376)
F (0.194, 0.085, 0.640)
F (0.314, 0.470, 0.898)
F (0.371, 0.849, 0.124)
F (0.470, 0.314, 0.398)
F (0.530, 0.686, 0.602)
F (0.629, 0.151, 0.876)
F (0.686, 0.530, 0.102)
F (0.806, 0.915, 0.360)
F (0.849, 0.371, 0.624)
F (0.915, 0.806, 0.860)

# SrCu4Cl8

An optimized crystal structure of SrCu4Cl8 (PBE, Alexandria).

Results
* formation energy without anion corrections: -1083 kJ/mol of formula units
* total moment: 2.09 μB/f.u.
* volume: 312 Å³/cell

a b c (Å): 8.006 8.006 8.006
angles (deg): 53.99 53.99 53.99
Fractional positions:
Sr (0.000, 0.000, 0.000)
Cu (0.000, 0.000, 0.500)
Cu (0.000, 0.500, 0.000)
Cu (0.500, 0.000, 0.000)
Cu (0.500, 0.500, 0.500)
Cl (0.223, 0.223, 0.223)
Cl (0.246, 0.733, 0.733)
Cl (0.267, 0.267, 0.754)
Cl (0.267, 0.754, 0.267)
Cl (0.733, 0.246, 0.733)
Cl (0.733, 0.733, 0.246)
Cl (0.754, 0.267, 0.267)
Cl (0.777, 0.777, 0.777)

# Cs4CeNd3Te8

An optimized crystal structure of Cs4CeNd3Te8 (PBE, Alexandria).

Results
* formation energy without anion corrections: -2153 kJ/mol of formula units
* total moment: 1.01 μB/f.u.
* volume: 682 Å³/cell

a b c (Å): 10.454 10.454 10.454
angles (deg): 53.35 53.35 53.35
Fractional positions:
Cs (0.000, 0.000, 0.000)
Cs (0.000, 0.500, 0.500)
Cs (0.500, 0.000, 0.500)
Cs (0.500, 0.500, 0.000)
Ce (0.500, 0.500, 0.500)
Nd (0.000, 0.000, 0.500)
Nd (0.000, 0.500, 0.000)
Nd (0.500, 0.000, 0.000)
Te (0.230, 0.732, 0.732)
Te (0.232, 0.232, 0.232)
Te (0.268, 0.268, 0.770)
Te (0.268, 0.770, 0.268)
Te (0.732, 0.230, 0.732)
Te (0.732, 0.732, 0.230)
Te (0.768, 0.768, 0.768)
Te (0.770, 0.268, 0.268)

# KTl2Ru

An optimized crystal structure of KTl2Ru (PBE, Alexandria).

Results
* total moment: 0.51 μB/f.u.
* volume: 197 Å³/cell
* formation energy: 3.01 eV per formula unit

a b c (Å): 4.420 4.420 10.101
angles (deg): 90.00 90.00 90.00
Fractional positions:
K (0.000, 0.000, 0.000)
K (0.500, 0.500, 0.500)
Tl (0.000, 0.000, 0.500)
Tl (0.000, 0.500, 0.250)
Tl (0.500, 0.000, 0.750)
Tl (0.500, 0.500, 0.000)
Ru (0.000, 0.500, 0.750)
Ru (0.500, 0.000, 0.250)

# ScHg2Cl

An optimized crystal structure of ScHg2Cl (PBE, Alexandria).

Results
* formation energy without anion corrections: -41 kJ/mol of formula units
* total moment: 0.89 μB/f.u.
* relative energy among the computed polymorphs: 0.598 eV per atom
* volume: 388 Å³/cell

a b c (Å): 7.292 7.292 7.292
angles (deg): 90.00 90.00 90.00
Fractional positions:
Sc (0.000, 0.000, 0.000)
Sc (0.000, 0.500, 0.500)
Sc (0.500, 0.000, 0.500)
Sc (0.500, 0.500, 0.000)
Hg (0.250, 0.250, 0.250)
Hg (0.250, 0.250, 0.750)
Hg (0.250, 0.750, 0.250)
Hg (0.250, 0.750, 0.750)
Hg (0.750, 0.250, 0.250)
Hg (0.750, 0.250, 0.750)
Hg (0.750, 0.750, 0.250)
Hg (0.750, 0.750, 0.750)
Cl (0.000, 0.000, 0.500)
Cl (0.000, 0.500, 0.000)
Cl (0.500, 0.000, 0.000)
Cl (0.500, 0.500, 0.500)

# Zr4AlAs

An optimized crystal structure of Zr4AlAs (PBE, Alexandria).

Results
* total moment: 0.00 μB/f.u.
* relative energy among the computed polymorphs: 0.000 eV per atom
* volume: 245 Å³/cell
* formation energy: -3.83 eV per formula unit

a b c (Å): 6.696 6.696 5.474
angles (deg): 90.00 90.00 90.00
Fractional positions:
Zr (0.151, 0.343, 0.000)
Zr (0.151, 0.657, 0.500)
Zr (0.343, 0.151, 0.500)
Zr (0.343, 0.849, 0.000)
Zr (0.657, 0.151, 0.000)
Zr (0.657, 0.849, 0.500)
Zr (0.849, 0.343, 0.500)
Zr (0.849, 0.657, 0.000)
Al (0.500, 0.500, 0.250)
Al (0.500, 0.500, 0.750)
As (0.000, 0.000, 0.250)
As (0.000, 0.000, 0.750)

# Mg2AlW

An optimized crystal structure of Mg2AlW (PBE, Alexandria).

Results
* total moment: 0.00 μB/f.u.
* volume: 142 Å³/cell
* formation energy: 0.99 eV per formula unit

a b c (Å): 9.504 2.826 5.322
angles (deg): 90.00 97.83 90.00
Fractional positions:
Mg (0.000, 0.000, 0.000)
Mg (0.242, 0.000, 0.748)
Mg (0.500, 0.500, 0.000)
Mg (0.742, 0.500, 0.748)
Al (0.249, 0.500, 0.291)
Al (0.749, 0.000, 0.291)
W (0.491, 0.000, 0.485)
W (0.991, 0.500, 0.485)

# La2NdTm

An optimized crystal structure of La2NdTm (PBE, Alexandria).

Results
* total moment: 0.00 μB/f.u.
* relative energy among the computed polymorphs: 0.000 eV per atom
* volume: 138 Å³/cell
* formation energy: 0.05 eV per formula unit

a b c (Å): 5.189 5.189 5.132
angles (deg): 90.00 90.00 90.00
Fractional positions:
La (0.000, 0.500, 0.000)
La (0.500, 0.000, 0.000)
Nd (0.000, 0.000, 0.500)
Tm (0.500, 0.500, 0.500)